An optimized crystal structure of GaSbRh. Source: Alexandria via LeMat-Bulk, functional GGA-PBE.

Unit cell a=4.3447 b=4.3447 c=6.3252 alpha=90.00 beta=90.00 gamma=90.00
Last column: nearest neighbours and their distance in Å.
Fractional positions:
Ga 0.0000 0.0000 0.2500  4 Rh 2.69
Ga 0.0000 0.0000 0.7500  4 Rh 2.69
Sb 0.5000 0.5000 0.2500  4 Rh 2.69
Sb 0.5000 0.5000 0.7500  4 Rh 2.69
Rh 0.0000 0.5000 0.0000  4 Sb 2.69, 4 Ga 2.69
Rh 0.5000 0.0000 0.5000  4 Sb 2.69, 4 Ga 2.69

## Properties
**Calculated volume**: 19.90 Å³ per atom
**ΔE to the lowest computed polymorph**: 0.02 eV/f.u.
**E_form (uncorrected)**: -40 kJ per mole of atoms
**Raw total energy**: -31.50 eV/cell
**Space group**: P4_2/mmc



An optimized crystal structure of GaSbRh2. Source: Alexandria via LeMat-Bulk, functional GGA-PBE.

Unit cell a=4.4933 b=4.4933 c=4.4933 alpha=60.00 beta=60.00 gamma=60.00
Last column: nearest neighbours and their distance in Å.
Fractional positions:
Ga 0.0000 0.0000 0.0000  8 Rh 2.75
Sb 0.5000 0.5000 0.5000  8 Rh 2.75
Rh 0.2500 0.2500 0.2500  4 Sb 2.75, 4 Ga 2.75
Rh 0.7500 0.7500 0.7500  4 Sb 2.75, 4 Ga 2.75

## Properties
**Calculated volume**: 16.04 Å³ per atom
**ΔE to the lowest computed polymorph**: 0.00 eV/f.u.
**E_form (uncorrected)**: -33 kJ per mole of atoms
**Raw total energy**: -23.23 eV/cell
**Space group**: Fm-3m